Compound: TlAgC
Source: the Alexandria database
Functional: GGA-PBE
Structure: optimized geometry

Values from the calculation:
As for the crystal system: triclinic. The energy is -4.15 eV per atom. The calculation puts the formation energy at 0.666 eV per atom.

a b c (Å): 5.377 5.581 5.722
angles (deg): 68.67 74.69 61.46
Element x y z (fractional)
Tl 0.000 0.000 0.000
Tl 0.303 0.325 0.114
Ag 0.635 0.646 0.149
Ag 0.768 0.659 0.607
C 0.154 0.667 0.579
C 0.395 0.660 0.568